Record 1
VASP calculation (GGA-PBE) on a relaxed NdPaN2 crystal.

Distance to the lowest polymorph of the same formula in eV per atom: 0.365
Theoretical density in g cm⁻³: 8.19
VASP energy in eV/atom: -8.9407

a = 6.8494 Å, b = 6.8494 Å, c = 6.8494 Å
α = 32.35°, β = 32.35°, γ = 32.35°
Last column: nearest neighbours and their distance in Å.
Positions (direct):
Nd  0.0000  0.0000  0.0000  6 N 2.53
Pa  0.5000  0.5000  0.5000  2 N 1.99
N  0.3976  0.3976  0.3976  1 Pa 1.99
N  0.6024  0.6024  0.6024  1 Pa 1.99

---

Record 2
VASP calculation (GGA-PBE) on a relaxed PrTlSn crystal.

Distance to the lowest polymorph of the same formula in eV per atom: 0.201
ΔH_f (0 K) in meV/atom: -275
Theoretical density in g cm⁻³: 8.29
VASP energy in eV/atom: -3.9914

a = 5.6294 Å, b = 5.6294 Å, c = 5.6294 Å
α = 133.25°, β = 133.25°, γ = 68.26°
Last column: nearest neighbours and their distance in Å.
Positions (direct):
Pr  0.0000  0.0000  0.0000  1 Tl 3.09, 1 Sn 3.23
Tl  0.6680  0.6680  0.0000  1 Sn 3.00, 1 Pr 3.09
Sn  0.3461  0.3461  0.0000  1 Tl 3.00, 1 Pr 3.23

---

Record 3
VASP calculation (GGA-PBE) on a relaxed Ba2SrCaF crystal.

Theoretical density in g cm⁻³: 3.26
VASP energy in eV/atom: -2.9443

a = 6.6611 Å, b = 6.6611 Å, c = 4.8379 Å
α = 90.00°, β = 90.00°, γ = 90.00°
Last column: nearest neighbours and their distance in Å.
Positions (direct):
Ba  0.0000  0.5000  0.0000  2 F 3.33
Ba  0.5000  0.0000  0.0000  2 F 3.33
Sr  0.0000  0.0000  0.5000  2 F 2.42
Ca  0.5000  0.5000  0.5000  8 Ba 4.12
F  0.0000  0.0000  0.0000  2 Sr 2.42

---

Please write out number 1 again, unchanged.
VASP calculation (GGA-PBE) on a relaxed NdPaN2 crystal.

Distance to the lowest polymorph of the same formula in eV per atom: 0.365
Theoretical density in g cm⁻³: 8.19
VASP energy in eV/atom: -8.9407

a = 6.8494 Å, b = 6.8494 Å, c = 6.8494 Å
α = 32.35°, β = 32.35°, γ = 32.35°
Last column: nearest neighbours and their distance in Å.
Positions (direct):
Nd  0.0000  0.0000  0.0000  6 N 2.53
Pa  0.5000  0.5000  0.5000  2 N 1.99
N  0.3976  0.3976  0.3976  1 Pa 1.99
N  0.6024  0.6024  0.6024  1 Pa 1.99

---

Copy entry 3 word for word.
VASP calculation (GGA-PBE) on a relaxed Ba2SrCaF crystal.

Theoretical density in g cm⁻³: 3.26
VASP energy in eV/atom: -2.9443

a = 6.6611 Å, b = 6.6611 Å, c = 4.8379 Å
α = 90.00°, β = 90.00°, γ = 90.00°
Last column: nearest neighbours and their distance in Å.
Positions (direct):
Ba  0.0000  0.5000  0.0000  2 F 3.33
Ba  0.5000  0.0000  0.0000  2 F 3.33
Sr  0.0000  0.0000  0.5000  2 F 2.42
Ca  0.5000  0.5000  0.5000  8 Ba 4.12
F  0.0000  0.0000  0.0000  2 Sr 2.42

---

Which value of VASP energy does entry 1 give?
-8.9407 eV/atom